! TiSbPtI2 PBE optimized geometry; values from VASP
&SYSTEM
  ibrav = 0, nat = 5, ntyp = 4
/
ATOMIC_SPECIES
I 126.90 I.upf
Sb 121.76 Sb.upf
Pt 195.08 Pt.upf
Ti 47.87 Ti.upf
ATOMIC_POSITIONS crystal
I 0.000 0.500 0.000
I 0.500 0.000 0.000
Sb 0.000 0.000 0.500
Pt 0.500 0.500 0.500
Ti 0.000 0.000 0.000
CELL_PARAMETERS angstrom
-5.059 0.452 1.164
-1.088 -3.983 -3.179
0.654 -3.546 4.219
! Polymorph energy (0 for the lowest one) in eV/atom: 0.011
! Symmetry: No. 123
! Total moment in μB per cell: 0.00
! Uncorrected formation energy in meV per atom: 607

---

! Cu2Ni2Bi PBE optimized geometry; values from VASP
&SYSTEM
  ibrav = 0, nat = 5, ntyp = 3
/
ATOMIC_SPECIES
Ni 58.69 Ni.upf
Bi 208.98 Bi.upf
Cu 63.55 Cu.upf
ATOMIC_POSITIONS crystal
Ni 0.393 0.393 0.214
Ni 0.607 0.607 0.786
Bi 0.000 0.000 0.000
Cu 0.750 0.250 0.500
Cu 0.250 0.750 0.500
CELL_PARAMETERS angstrom
-0.871 2.602 -2.351
-1.862 -2.396 -1.961
-6.143 1.290 0.927
! Polymorph energy (0 for the lowest one) in eV/atom: 0.000
! Symmetry: No. 139
! Energy relative to the elements in eV/atom: 0.23
! Total moment in μB per cell: 0.00

---

! Dy5Cu3 PBE optimized geometry; values from VASP
&SYSTEM
  ibrav = 0, nat = 8, ntyp = 2
/
ATOMIC_SPECIES
Dy 162.50 Dy.upf
Cu 63.55 Cu.upf
ATOMIC_POSITIONS crystal
Dy 0.000 0.000 0.219
Dy 0.500 0.500 0.610
Dy 0.500 0.500 0.390
Dy 0.000 0.000 0.781
Dy 0.000 0.000 0.000
Cu 0.500 0.500 0.109
Cu 0.500 0.500 0.891
Cu 0.000 0.000 0.500
CELL_PARAMETERS angstrom
3.464 0.000 0.000
0.000 3.464 0.000
0.000 0.000 15.774
! Symmetry: No. 123
! Energy relative to the elements in eV/atom: -0.17
! Total moment in μB per cell: 0.00

---

! Tb2ZnCu3Ge4 PBE optimized geometry; values from VASP
&SYSTEM
  ibrav = 0, nat = 10, ntyp = 4
/
ATOMIC_SPECIES
Tb 158.93 Tb.upf
Zn 65.41 Zn.upf
Cu 63.55 Cu.upf
Ge 72.64 Ge.upf
ATOMIC_POSITIONS crystal
Tb 0.500 0.000 0.251
Tb 0.000 0.500 0.749
Zn 0.500 0.500 0.500
Cu 0.000 0.000 0.500
Cu 0.500 0.000 0.864
Cu 0.000 0.500 0.136
Ge 0.500 0.500 0.000
Ge 0.000 0.000 0.000
Ge 0.500 0.000 0.641
Ge 0.000 0.500 0.359
CELL_PARAMETERS angstrom
-3.956 -0.882 -0.483
0.994 -3.146 -2.402
0.379 -6.306 8.414
! Symmetry: No. 115
! Energy relative to the elements in eV/atom: -0.47
! Total moment in μB per cell: 0.00

---

! TaBeBAs2 PBE optimized geometry; values from VASP
&SYSTEM
  ibrav = 0, nat = 5, ntyp = 4
/
ATOMIC_SPECIES
Be 9.01 Be.upf
As 74.92 As.upf
B 10.81 B.upf
Ta 180.95 Ta.upf
ATOMIC_POSITIONS crystal
Be 0.000 0.000 0.000
As 0.000 0.000 0.500
As 0.500 0.000 0.000
B 0.000 0.500 0.000
Ta 0.500 0.500 0.500
CELL_PARAMETERS angstrom
4.654 0.000 0.000
0.000 3.415 0.000
0.000 0.000 4.654
! Symmetry: No. 123
! Energy relative to the elements in eV/atom: 0.81
! Total moment in μB per cell: 0.00

---

! ThGaCu11 PBE optimized geometry; values from VASP
&SYSTEM
  ibrav = 0, nat = 13, ntyp = 3
/
ATOMIC_SPECIES
Th 232.04 Th.upf
Ga 69.72 Ga.upf
Cu 63.55 Cu.upf
ATOMIC_POSITIONS crystal
Th 0.000 0.000 0.000
Ga 0.500 0.500 0.000
Cu 0.281 0.222 0.224
Cu 0.719 0.778 0.776
Cu 0.494 0.778 0.224
Cu 0.506 0.222 0.776
Cu 0.340 0.648 0.638
Cu 0.660 0.352 0.362
Cu 0.021 0.352 0.638
Cu 0.979 0.648 0.362
Cu 0.000 0.500 0.000
Cu 0.500 0.000 0.500
Cu 0.000 0.000 0.500
CELL_PARAMETERS angstrom
-4.194 2.159 -1.205
-4.269 -4.459 -2.349
-4.170 0.146 4.936
! Symmetry: No. 12
! Energy relative to the elements in eV/atom: -0.10
! Total moment in μB per cell: 0.00